(1)
# Zr2PRu

An optimized crystal structure of Zr2PRu (PBE, the Alexandria database).

Geometry as POSCAR:
```
Zr2PRu
1.0
1.786 -5.003 0.000
1.786 5.003 0.000
0.000 0.000 4.002
Ru P Zr
1 1 2
Direct
0.542 0.458 0.500
0.707 0.293 0.000
0.983 0.017 0.000
0.268 0.732 0.500
```

Values from the calculation:
* ΔE_f: -345 kJ/mol of formula units
* DOS at the Fermi energy: 2.89 states/eV/cell
* total DFT energy (no corrections): -8.839 eV per atom

(2)
# RbHfTl

An optimized crystal structure of RbHfTl (PBE, the Alexandria database).

Geometry as POSCAR:
```
RbHfTl
1.0
9.213 0.000 0.000
0.000 3.228 0.000
0.000 0.000 12.142
Rb Hf Tl
4 4 4
Direct
0.147 0.750 0.573
0.647 0.750 0.927
0.353 0.250 0.073
0.853 0.250 0.427
0.961 0.250 0.105
0.539 0.750 0.605
0.461 0.250 0.395
0.039 0.750 0.895
0.675 0.750 0.217
0.325 0.250 0.783
0.825 0.250 0.717
0.175 0.750 0.283
```

Values from the calculation:
* ΔE_f: 127 kJ/mol of formula units
* DOS at the Fermi energy: 7.38 states/eV/cell
* total DFT energy (no corrections): -3.991 eV per atom